(1)
Material: ZrGePb2S5
Method: DFT, PBE
State: optimized geometry

abc: 3.840 8.917 14.271
angles: 90.00 90.00 102.43
Atoms (fractional coordinates):
Zr  0.760  0.521  0.536
Zr  0.240  0.479  0.036
Ge  0.573  0.145  0.960
Ge  0.427  0.855  0.460
Pb  0.891  0.782  0.782
Pb  0.086  0.172  0.635
Pb  0.109  0.218  0.282
Pb  0.914  0.828  0.135
S  0.379  0.759  0.993
S  0.707  0.414  0.917
S  0.502  0.003  0.770
S  0.248  0.496  0.659
S  0.911  0.821  0.572
S  0.621  0.241  0.493
S  0.293  0.586  0.417
S  0.498  0.997  0.270
S  0.752  0.504  0.159
S  0.089  0.179  0.072

Calculated values
Energy relative to the elements, uncorrected = -0.74 eV per atom
Symmetry = Cmc2_1 (36)
Theoretical density = 5.1 g cm⁻³

***

(2)
Material: TbCoSnPd
Method: DFT, PBE
State: optimized geometry

abc: 4.713 4.713 4.713
angles: 60.00 60.00 60.00
Site moments in Bohr magnetons follow the coordinates.
Atoms (fractional coordinates):
Co  0.750  0.750  0.750  1.20
Tb  0.000  0.000  0.000  -0.05
Sn  0.500  0.500  0.500  0.03
Pd  0.250  0.250  0.250  0.11

Calculated values
Formation enthalpy at 0 K = -0.49 eV per atom
Symmetry = F-43m (216)
Theoretical density = 9.9 g cm⁻³

***

(3)
Material: PrGe6Pd12
Method: DFT, PBE
State: optimized geometry

abc: 7.237 7.237 7.237
angles: 105.47 105.47 105.47
Atoms (fractional coordinates):
Pr  0.000  0.000  0.000
Ge  0.695  0.254  0.254
Ge  0.254  0.254  0.695
Ge  0.254  0.695  0.254
Ge  0.746  0.746  0.305
Ge  0.305  0.746  0.746
Ge  0.746  0.305  0.746
Pd  0.877  0.123  0.500
Pd  0.833  0.576  0.576
Pd  0.576  0.576  0.833
Pd  0.424  0.167  0.424
Pd  0.424  0.424  0.167
Pd  0.167  0.424  0.424
Pd  0.123  0.500  0.877
Pd  0.500  0.877  0.123
Pd  0.123  0.877  0.500
Pd  0.877  0.500  0.123
Pd  0.500  0.123  0.877
Pd  0.576  0.833  0.576

Calculated values
Formation enthalpy at 0 K = -0.51 eV per atom
Symmetry = R-3m (166)
Theoretical density = 9.4 g cm⁻³

***

(4)
Material: Pm2SmHg2Pb2
Method: DFT, PBE
State: optimized geometry

abc: 5.107 5.107 9.626
angles: 74.62 74.62 60.00
Atoms (fractional coordinates):
Pm  0.130  0.130  0.609
Pm  0.870  0.870  0.391
Sm  0.000  0.000  0.000
Hg  0.567  0.567  0.298
Hg  0.433  0.433  0.702
Pb  0.726  0.726  0.823
Pb  0.274  0.274  0.177

Calculated values
Formation enthalpy at 0 K = -0.26 eV per atom
Symmetry = R-3m (166)
Theoretical density = 10.1 g cm⁻³

***

(5)
Material: CsScSn3
Method: DFT, PBE
State: optimized geometry

abc: 5.942 5.942 5.942
angles: 90.00 90.00 90.00
Atoms (fractional coordinates):
Cs  0.000  0.000  0.000
Sc  0.500  0.500  0.500
Sn  0.000  0.500  0.000
Sn  0.000  0.000  0.500
Sn  0.500  0.000  0.000

Calculated values
Formation enthalpy at 0 K = 1.45 eV per atom
Symmetry = Pm-3m (221)
Theoretical density = 4.2 g cm⁻³

***

(6)
Material: DyErRuAu
Method: DFT, PBE
State: optimized geometry

abc: 3.421 3.421 7.256
angles: 90.00 90.00 90.00
Atoms (fractional coordinates):
Dy  0.000  0.000  0.836
Er  0.000  0.000  0.377
Ru  0.500  0.500  0.604
Au  0.500  0.500  0.111

Calculated values
Formation enthalpy at 0 K = -0.68 eV per atom
Symmetry = P4mm (99)
Theoretical density = 12.3 g cm⁻³

***

(7)
Material: Pr2Ge2Bi
Method: DFT, PBE
State: optimized geometry

abc: 4.310 4.146 7.792
angles: 105.43 90.00 90.00
Atoms (fractional coordinates):
Pr  0.500  0.636  0.272
Pr  0.500  0.364  0.728
Ge  0.000  0.199  0.397
Ge  0.000  0.801  0.603
Bi  0.000  0.000  0.000

Calculated values
Formation enthalpy at 0 K = -0.75 eV per atom
Symmetry = Cmmm (65)
Theoretical density = 7.9 g cm⁻³

***

(8)
Material: KAl2Se
Method: DFT, PBE
State: optimized geometry

abc: 4.623 4.752 5.557
angles: 73.72 90.00 90.00
Atoms (fractional coordinates):
K  0.500  0.250  0.250
Al  0.000  0.959  0.885
Al  0.000  0.541  0.615
Se  0.500  0.750  0.750

Calculated values
Energy relative to the elements, uncorrected = -0.11 eV per atom
Symmetry = P2/m (10)
Theoretical density = 2.4 g cm⁻³

***

Copy entry 4 word for word.
Material: Pm2SmHg2Pb2
Method: DFT, PBE
State: optimized geometry

abc: 5.107 5.107 9.626
angles: 74.62 74.62 60.00
Atoms (fractional coordinates):
Pm  0.130  0.130  0.609
Pm  0.870  0.870  0.391
Sm  0.000  0.000  0.000
Hg  0.567  0.567  0.298
Hg  0.433  0.433  0.702
Pb  0.726  0.726  0.823
Pb  0.274  0.274  0.177

Calculated values
Formation enthalpy at 0 K = -0.26 eV per atom
Symmetry = R-3m (166)
Theoretical density = 10.1 g cm⁻³

***

Question: Which of these has the lowest theoretical density?
Answer: KAl2Se